1.
# LaPPt3

Crystalline LaPPt3 at its relaxed geometry (GGA-PBE, Alexandria via LeMat-Bulk). Values from VASP.

```
&SYSTEM
  ibrav = 0, nat = 5, ntyp = 3
/
ATOMIC_SPECIES
Pt 195.08 Pt.upf
La 138.91 La.upf
P 30.97 P.upf
ATOMIC_POSITIONS angstrom
Pt 0.000 0.000 2.331
Pt 0.000 2.331 0.000
Pt 2.331 0.000 0.000
La 2.331 2.331 2.331
P 0.000 0.000 0.000
CELL_PARAMETERS angstrom
4.662 0.000 0.000
0.000 4.662 0.000
0.000 0.000 4.662
```

Output
Theoretical density, g/cm3: 12.38
Density of states at the Fermi level, states/eV/cell: 1.07
Space group: Pm-3m (221)
Magnetic moment, μB per cell: 0.0
Final energy, eV for the cell shown: -32.32
E above lowest polymorph, kJ per mole of atoms: 25.21
Volume, Å³ per cell: 101.32

2.
# La2PPt

Crystalline La2PPt at its relaxed geometry (GGA-PBE, Alexandria via LeMat-Bulk). Values from VASP.

```
&SYSTEM
  ibrav = 0, nat = 4, ntyp = 3
/
ATOMIC_SPECIES
La 138.91 La.upf
P 30.97 P.upf
Pt 195.08 Pt.upf
ATOMIC_POSITIONS angstrom
La -2.684 -2.472 0.980
La -0.238 -2.821 4.471
P -0.102 -1.209 1.916
Pt -2.821 -4.084 3.535
CELL_PARAMETERS angstrom
-4.147 0.959 0.384
-1.018 -3.486 -2.254
-0.272 -3.224 5.109
```

Output
Theoretical density, g/cm3: 7.58
Density of states at the Fermi level, states/eV/cell: 3.28
Space group: P4/mmm (123)
Magnetic moment, μB per cell: 0.0
Final energy, eV for the cell shown: -26.38
Volume, Å³ per cell: 110.45

3.
# La2PPt

Crystalline La2PPt at its relaxed geometry (GGA-PBE, Alexandria via LeMat-Bulk). Values from VASP.

```
&SYSTEM
  ibrav = 0, nat = 4, ntyp = 3
/
ATOMIC_SPECIES
Pt 195.08 Pt.upf
La 138.91 La.upf
P 30.97 P.upf
ATOMIC_POSITIONS angstrom
Pt -3.239 6.488 5.735
La -1.080 2.163 1.912
La 0.000 0.000 0.000
P -2.160 4.325 3.824
CELL_PARAMETERS angstrom
-3.609 3.438 0.697
-1.778 0.879 4.625
1.068 4.334 2.325
```

Output
Theoretical density, g/cm3: 9.28
Density of states at the Fermi level, states/eV/cell: 4.07
Space group: F-43m (216)
Magnetic moment, μB per cell: 0.0
Final energy, eV for the cell shown: -23.17
Volume, Å³ per cell: 90.13

4.
# La3P2Pt4

Crystalline La3P2Pt4 at its relaxed geometry (GGA-PBE, Alexandria via LeMat-Bulk). Values from VASP.

```
&SYSTEM
  ibrav = 0, nat = 9, ntyp = 3
/
ATOMIC_SPECIES
La 138.91 La.upf
Pt 195.08 Pt.upf
P 30.97 P.upf
ATOMIC_POSITIONS angstrom
La 3.129 -1.503 2.168
La 0.000 0.000 0.000
La 3.721 2.418 3.934
Pt 4.262 -0.528 5.049
Pt 2.588 1.442 1.053
Pt 6.762 2.121 3.207
Pt 0.088 -1.206 2.896
P 1.130 0.946 2.887
P 5.720 -0.032 3.215
CELL_PARAMETERS angstrom
-2.028 0.997 3.617
2.463 -5.407 0.357
6.415 5.324 2.129
```

Output
Theoretical density, g/cm3: 10.61
Density of states at the Fermi level, states/eV/cell: 3.13
Space group: C2/m (12)
Magnetic moment, μB per cell: 0.0
Final energy, eV for the cell shown: -61.43
Volume, Å³ per cell: 197.12

5.
# LaPPt3

Crystalline LaPPt3 at its relaxed geometry (GGA-PBE, Alexandria via LeMat-Bulk). Values from VASP.

```
&SYSTEM
  ibrav = 0, nat = 5, ntyp = 3
/
ATOMIC_SPECIES
Pt 195.08 Pt.upf
P 30.97 P.upf
La 138.91 La.upf
ATOMIC_POSITIONS angstrom
Pt -0.345 -1.695 -1.932
Pt 0.991 -1.886 1.478
Pt -2.371 -0.542 0.898
P -1.726 -4.123 0.444
La 0.000 0.000 0.000
CELL_PARAMETERS angstrom
-4.742 -1.083 1.797
-0.690 -3.389 -3.864
1.981 -3.773 2.955
```

Output
Theoretical density, g/cm3: 8.99
Density of states at the Fermi level, states/eV/cell: 4.07
Space group: Pm-3m (221)
Magnetic moment, μB per cell: 0.0
Final energy, eV for the cell shown: -21.82
E above lowest polymorph, kJ per mole of atoms: 227.77
Volume, Å³ per cell: 139.47

6.
# LaP3Pt3

Crystalline LaP3Pt3 at its relaxed geometry (GGA-PBE, Alexandria via LeMat-Bulk). Values from VASP.

```
&SYSTEM
  ibrav = 0, nat = 14, ntyp = 3
/
ATOMIC_SPECIES
Pt 195.08 Pt.upf
P 30.97 P.upf
La 138.91 La.upf
ATOMIC_POSITIONS angstrom
Pt 1.468 -3.022 1.488
Pt -2.492 -2.304 1.409
Pt 2.319 -1.680 5.187
Pt -3.766 -1.486 4.326
Pt -0.386 -5.734 1.439
Pt -0.077 -0.015 3.674
P 1.758 -1.256 2.972
P -2.201 -0.539 2.892
P 1.739 -5.211 2.220
P -0.657 -3.545 0.707
P -4.056 -3.251 2.843
P 0.484 -0.438 5.889
La -0.733 -3.560 4.381
La 0.000 0.000 0.000
CELL_PARAMETERS angstrom
-3.709 -5.426 -0.099
4.791 -3.330 3.027
-2.548 1.636 5.834
```

Output
Theoretical density, g/cm3: 9.56
Density of states at the Fermi level, states/eV/cell: 9.79
Space group: Pm-3n (223)
Magnetic moment, μB per cell: 0.0
Final energy, eV for the cell shown: -89.17
Volume, Å³ per cell: 283.97